[1]
# BaYRu2 PBE optimized geometry
data_BaYRu2
_chemical_formula_sum 'Ba1 Y1 Ru2'
_symmetry_space_group_name_H-M 'P 4/m m m'
_symmetry_Int_Tables_number 123
_symmetry_space_group_name_Hall '-P 4 2'
_cell_length_a 5.030
_cell_length_b 5.030
_cell_length_c 3.533
_cell_angle_alpha 90.00
_cell_angle_beta 90.00
_cell_angle_gamma 90.00
loop_
_atom_site_label
_atom_site_fract_x
_atom_site_fract_y
_atom_site_fract_z
Ba1 0.000 0.000 0.000
Y1 0.500 0.500 0.000
Ru1 0.000 0.500 0.500
# Fermi-level density of states (states/eV/atom): 1.615
# Total energy (eV/cell): -25.0
# Total magnetic moment (μB per cell): 0.00



[2]
# KDy2Hg3 PBE optimized geometry
data_KDy2Hg3
_chemical_formula_sum 'K1 Dy2 Hg3'
_symmetry_space_group_name_H-M 'P 4/m m m'
_symmetry_Int_Tables_number 123
_symmetry_space_group_name_Hall '-P 4 2'
_cell_length_a 3.742
_cell_length_b 3.742
_cell_length_c 12.238
_cell_angle_alpha 90.00
_cell_angle_beta 90.00
_cell_angle_gamma 90.00
loop_
_atom_site_label
_atom_site_fract_x
_atom_site_fract_y
_atom_site_fract_z
K1 0.000 0.000 0.000
Dy1 0.000 0.000 0.347
Hg1 0.500 0.500 0.209
Hg2 0.500 0.500 0.500
# Fermi-level density of states (states/eV/atom): 0.479
# Total energy (eV/cell): -13.5
# Total magnetic moment (μB per cell): 0.00



[3]
# Li2Al5Co2 PBE optimized geometry
data_Li2Al5Co2
_chemical_formula_sum 'Li8 Al20 Co8'
_symmetry_space_group_name_H-M 'C m c e'
_symmetry_Int_Tables_number 64
_symmetry_space_group_name_Hall '-C 2ac 2'
_cell_length_a 13.092
_cell_length_b 6.668
_cell_length_c 6.426
_cell_angle_alpha 90.00
_cell_angle_beta 90.00
_cell_angle_gamma 90.00
loop_
_atom_site_label
_atom_site_fract_x
_atom_site_fract_y
_atom_site_fract_z
Li1 0.212 0.000 0.000
Al1 0.000 0.000 0.000
Al2 0.114 0.148 0.341
Co1 0.000 0.149 0.644
# Fermi-level density of states (states/eV/atom): 0.626
# Total energy (eV/cell): -150.7
# Total magnetic moment (μB per cell): 0.00